Entry from Alexandria: a relaxed structure of ThGaPd (GGA-PBE).

symmetry = No. 107
formation energy from the elements = -0.595 eV/atom

The structure in POSCAR format:
```
ThGaPd
1.0
-3.274 -0.820 -0.022
0.572 -2.216 -2.481
2.308 -2.402 4.973
Th Pd Ga
1 1 1
Cartesian
-1.122 -2.455 -0.362 Th
0.590 -2.419 2.296 Pd
-0.544 -4.826 1.888 Ga
```

Entry from Alexandria: a relaxed structure of Ba2BeS (GGA-PBE).

E above lowest polymorph = 0.0000 eV per atom
formation energy without anion corrections = -0.381 eV/atom
symmetry = No. 122

The structure in POSCAR format:
```
Ba2BeS
1.0
8.306 0.000 0.000
0.000 8.306 0.000
4.153 4.153 4.571
Be S Ba
2 2 4
Cartesian
4.153 4.153 0.000 Be
4.153 8.306 2.285 Be
0.000 0.000 0.000 S
8.306 4.153 2.285 S
6.425 2.077 1.143 Ba
1.881 6.230 1.143 Ba
6.230 6.034 3.428 Ba
10.383 10.578 3.428 Ba
```

Entry from Alexandria: a relaxed structure of InAg2Pd (GGA-PBE).

E above lowest polymorph = 0.2530 eV per atom
symmetry = No. 122
formation energy from the elements = 0.050 eV/atom

The structure in POSCAR format:
```
InAg2Pd
1.0
-4.105 1.948 -6.100
5.294 -3.044 -4.535
-0.707 -2.964 -5.214
Pd Ag In
2 4 2
Cartesian
0.594 -0.548 -5.317 Pd
2.590 -3.278 -7.533 Pd
-2.043 0.078 -5.627 Ag
2.581 -2.382 -4.956 Ag
-0.036 -2.662 -7.940 Ag
0.461 -3.154 -13.174 Ag
0.000 0.000 0.000 In
-2.109 -0.782 -8.315 In
```

Entry from Alexandria: a relaxed structure of MgIn3Bi2 (GGA-PBE).

symmetry = No. 15
formation energy from the elements = -0.033 eV/atom

The structure in POSCAR format:
```
MgIn3Bi2
1.0
0.477 3.058 -3.714
1.861 -3.570 -2.676
-14.715 -3.306 -1.483
Mg In Bi
2 6 4
Cartesian
-1.987 -3.583 -3.174 Mg
-10.389 -0.236 -4.698 Mg
-5.275 -2.430 -2.678 In
0.611 -1.437 -4.187 In
-7.102 -1.388 -5.195 In
-12.988 -2.382 -3.685 In
-2.677 -0.281 -3.691 In
-9.699 -3.537 -4.181 In
-1.040 -1.304 -1.165 Bi
-3.626 -2.554 -5.701 Bi
-11.337 -2.515 -6.707 Bi
-8.751 -1.264 -2.172 Bi
```

Entry from Alexandria: a relaxed structure of PaNb2TlO8 (GGA-PBE).

formation energy without anion corrections = -2.607 eV/atom
symmetry = No. 164

The structure in POSCAR format:
```
PaNb2TlO8
1.0
6.156 0.000 0.000
-3.078 5.331 0.000
0.000 0.000 7.737
Pa Nb Tl O
1 2 1 8
Cartesian
0.000 0.000 0.000 Pa
0.000 3.554 5.810 Nb
3.078 1.777 1.927 Nb
0.000 0.000 3.869 Tl
0.000 1.741 6.431 O
-1.570 4.461 6.431 O
1.570 4.461 6.431 O
1.508 0.870 1.306 O
3.078 1.777 3.705 O
0.000 3.554 4.032 O
3.078 3.590 1.306 O
4.648 0.870 1.306 O
```

Entry from Alexandria: a relaxed structure of MgAgTe2 (GGA-PBE).

formation energy without anion corrections = -0.116 eV/atom
symmetry = No. 65

The structure in POSCAR format:
```
MgAgTe2
1.0
-0.691 3.809 -0.644
-3.124 -2.069 1.169
1.767 1.597 7.551
Ag Mg Te
1 1 2
Cartesian
-1.466 1.269 2.150 Ag
-0.582 2.068 5.926 Mg
1.760 1.590 7.519 Te
0.891 0.805 3.808 Te
```

Entry from Alexandria: a relaxed structure of Er2PaFeC4 (GGA-PBE).

symmetry = No. 63
formation energy from the elements = -0.082 eV/atom

The structure in POSCAR format:
```
Er2PaFeC4
1.0
3.415 0.000 0.000
-1.708 5.689 0.000
0.000 0.000 11.689
Er Pa Fe C
4 2 2 8
Cartesian
0.000 4.171 6.386 Er
1.708 1.518 0.542 Er
1.708 1.518 5.303 Er
0.000 4.171 11.147 Er
0.000 1.028 8.767 Pa
1.708 4.661 2.922 Pa
1.708 3.782 8.767 Fe
0.000 1.906 2.922 Fe
0.000 3.123 1.628 C
1.708 2.566 7.472 C
1.708 2.566 10.062 C
0.000 3.123 4.217 C
0.000 0.000 5.845 C
0.000 0.000 0.000 C
0.000 4.813 8.767 C
1.708 0.875 2.922 C
```

Entry from Alexandria: a relaxed structure of Pr5SN4 (GGA-PBE).

formation energy without anion corrections = -1.433 eV/atom
symmetry = No. 12

The structure in POSCAR format:
```
Pr5SN4
1.0
3.655 0.000 0.835
1.547 6.132 1.644
-0.023 -0.056 8.518
Pr S N
5 1 4
Cartesian
2.140 5.489 7.467 Pr
3.040 0.587 3.529 Pr
1.937 2.025 8.358 Pr
0.762 3.038 5.081 Pr
3.243 4.051 2.638 Pr
0.000 0.000 0.000 S
2.492 1.195 5.928 N
1.329 2.457 2.600 N
3.851 3.619 8.396 N
2.688 4.881 5.069 N
```

Entry from Alexandria: a relaxed structure of NaHf2Ta2 (GGA-PBE).

E above lowest polymorph = 0.0000 eV per atom
symmetry = No. 127
formation energy from the elements = 0.595 eV/atom

The structure in POSCAR format:
```
NaHf2Ta2
1.0
-1.580 3.148 8.050
-4.469 -7.302 1.979
2.518 -1.272 0.992
Na Hf Ta
2 4 4
Cartesian
0.000 0.000 0.000 Na
-3.025 -2.077 5.014 Na
-4.382 -5.126 4.550 Hf
-4.233 -2.018 8.159 Hf
-1.667 0.972 5.479 Hf
-1.816 -2.136 1.870 Hf
-1.797 -4.851 2.847 Ta
-3.608 -4.945 7.324 Ta
-1.734 -0.575 8.173 Ta
0.076 -0.481 3.696 Ta
```

Entry from Alexandria: a relaxed structure of Sr3ScFe (GGA-PBE).

symmetry = No. 221
formation energy from the elements = 1.293 eV/atom

The structure in POSCAR format:
```
Sr3ScFe
1.0
-4.683 -3.210 2.553
2.729 0.453 5.576
-3.061 5.314 1.067
Sc Sr Fe
1 3 1
Cartesian
0.000 0.000 0.000 Sc
1.365 0.226 2.788 Sr
-1.530 2.657 0.533 Sr
-2.341 -1.605 1.276 Sr
-2.507 1.279 4.598 Fe
```

Entry from Alexandria: a relaxed structure of ThZrScTi (GGA-PBE).

symmetry = No. 216
formation energy from the elements = 0.124 eV/atom

The structure in POSCAR format:
```
ThZrScTi
1.0
-2.985 -2.571 -3.238
-3.945 -2.705 1.768
-4.770 1.579 -0.872
Sc Zr Th Ti
1 1 1 1
Cartesian
-8.774 -2.773 -1.756 Sc
-5.850 -1.849 -1.171 Zr
0.000 0.000 0.000 Th
-2.925 -0.924 -0.585 Ti
```

Entry from Alexandria: a relaxed structure of Na2SnHgO (GGA-PBE).

formation energy without anion corrections = -0.661 eV/atom
symmetry = No. 123

The structure in POSCAR format:
```
Na2SnHgO
1.0
-1.621 1.453 4.077
2.884 -2.884 2.174
3.392 3.474 0.110
Na Hg O Sn
2 1 1 1
Cartesian
1.442 -1.442 1.087 Na
-0.810 0.727 2.039 Na
2.328 1.022 3.181 Hg
0.000 0.000 0.000 O
1.696 1.737 0.055 Sn
```

Number 1: DOS(E_F) 0.90 states/eV/atom, total DFT energy (no corrections) -5.81 eV per atom. Number 2: DOS(E_F) 0.79 states/eV/atom, total DFT energy (no corrections) -3.31 eV per atom. Number 3: DOS(E_F) 0.45 states/eV/atom, total DFT energy (no corrections) -3.36 eV per atom. Number 4: DOS(E_F) 0.32 states/eV/atom, total DFT energy (no corrections) -2.96 eV per atom. Number 5: DOS(E_F) 0.00 states/eV/atom, total DFT energy (no corrections) -8.58 eV per atom. Number 6: DOS(E_F) 0.52 states/eV/atom, total DFT energy (no corrections) -2.80 eV per atom. Number 7: DOS(E_F) 0.65 states/eV/atom, total DFT energy (no corrections) -8.08 eV per atom. Number 8: DOS(E_F) 0.17 states/eV/atom, total DFT energy (no corrections) -7.57 eV per atom. Number 9: DOS(E_F) 1.32 states/eV/atom, total DFT energy (no corrections) -8.39 eV per atom. Number 10: DOS(E_F) 2.11 states/eV/atom, total DFT energy (no corrections) -2.68 eV per atom. Number 11: DOS(E_F) 1.54 states/eV/atom, total DFT energy (no corrections) -7.43 eV per atom. Number 12: DOS(E_F) 0.28 states/eV/atom, total DFT energy (no corrections) -3.04 eV per atom.